The following is a DFT calculation (PBEsol) of an optimized crystal structure of SrH2O2.

Lattice parameters (Å, degrees): 3.874 5.916 9.794 90.00 90.00 90.00
Element x y z (fractional)
O (0.250, 0.879, 0.377)
O (0.750, 0.655, 0.606)
O (0.750, 0.845, 0.106)
O (0.750, 0.379, 0.123)
O (0.250, 0.621, 0.877)
O (0.250, 0.345, 0.394)
O (0.250, 0.155, 0.894)
O (0.750, 0.121, 0.623)
H (0.250, 0.177, 0.405)
H (0.750, 0.370, 0.024)
H (0.250, 0.630, 0.976)
H (0.250, 0.323, 0.905)
H (0.250, 0.870, 0.476)
H (0.750, 0.823, 0.595)
H (0.750, 0.130, 0.524)
H (0.750, 0.677, 0.095)
Sr (0.250, 0.104, 0.158)
Sr (0.750, 0.604, 0.342)
Sr (0.750, 0.896, 0.842)
Sr (0.250, 0.396, 0.658)

**DOS(E_F)**: 0.0 states/eV per cell
**Mass density**: 3.60 g/cm³
**Final energy**: -5.648 eV/atom

The following is a DFT calculation (PBEsol) of an optimized crystal structure of Ca2CuAg.

Lattice parameters (Å, degrees): 3.557 3.557 7.173 90.00 90.00 90.00
Element x y z (fractional)
Cu (0.500, 0.500, 0.000)
Ag (0.500, 0.500, 0.500)
Ca (0.000, 0.000, 0.239)
Ca (0.000, 0.000, 0.761)

**DOS(E_F)**: 3.0 states/eV per cell
**Mass density**: 4.60 g/cm³
**Final energy**: -3.114 eV/atom

The following is a DFT calculation (PBEsol) of an optimized crystal structure of Ca4Mg2Zn3.

Lattice parameters (Å, degrees): 3.632 7.791 8.887 105.72 101.79 90.00
Element x y z (fractional)
Ca (0.256, 0.771, 0.511)
Ca (0.563, 0.852, 0.126)
Ca (0.744, 0.229, 0.489)
Ca (0.437, 0.148, 0.874)
Zn (0.089, 0.181, 0.178)
Zn (0.911, 0.819, 0.822)
Zn (0.000, 0.500, 0.000)
Mg (0.386, 0.536, 0.771)
Mg (0.614, 0.464, 0.229)

**DOS(E_F)**: 6.4 states/eV per cell
**Mass density**: 2.84 g/cm³
**Final energy**: -1.957 eV/atom

The following is a DFT calculation (PBEsol) of an optimized crystal structure of TaTl2Br.

Lattice parameters (Å, degrees): 3.133 4.625 7.995 106.81 101.30 90.00
Element x y z (fractional)
Tl (0.770, 0.270, 0.541)
Tl (0.924, 0.924, 0.848)
Ta (0.221, 0.721, 0.442)
Br (0.585, 0.585, 0.170)

**Energy above the lowest structure with this stoichiometry**: 0 meV per atom
**DOS(E_F)**: 2.1 states/eV per cell
**Mass density**: 10.24 g/cm³
**Final energy**: -4.717 eV/atom

The following is a DFT calculation (PBEsol) of an optimized crystal structure of HfGaAu.

Lattice parameters (Å, degrees): 4.305 4.305 6.603 90.00 90.00 120.00
Element x y z (fractional)
Au (0.667, 0.333, 0.286)
Au (0.667, 0.333, 0.714)
Hf (0.000, 0.000, 0.000)
Hf (0.000, 0.000, 0.500)
Ga (0.333, 0.667, 0.788)
Ga (0.333, 0.667, 0.212)

**DOS(E_F)**: 1.5 states/eV per cell
**Mass density**: 13.95 g/cm³
**Final energy**: -6.506 eV/atom

The following is a DFT calculation (PBEsol) of an optimized crystal structure of TlOs3N.

Lattice parameters (Å, degrees): 4.993 4.993 4.993 90.00 90.00 90.00
Each line ends with the local moment (μB).
Element x y z (fractional)
N (0.500, 0.500, 0.500)  1.54
Os (0.000, 0.000, 0.500)  2.08
Os (0.500, 0.000, 0.000)  2.08
Os (0.000, 0.500, 0.000)  2.08
Tl (0.000, 0.000, 0.000)  -0.02

**Energy above the lowest structure with this stoichiometry**: 3731 meV per atom
**DOS(E_F)**: 6.3 states/eV per cell
**Mass density**: 10.53 g/cm³
**Final energy**: -4.919 eV/atom

The following is a DFT calculation (PBEsol) of an optimized crystal structure of Mo2RuPt.

Lattice parameters (Å, degrees): 3.861 3.861 3.897 90.00 90.00 90.00
Element x y z (fractional)
Mo (0.500, 0.000, 0.000)
Mo (0.000, 0.500, 0.000)
Ru (0.000, 0.000, 0.500)
Pt (0.500, 0.500, 0.500)

**Energy above the lowest structure with this stoichiometry**: 0 meV per atom
**DOS(E_F)**: 2.5 states/eV per cell
**Mass density**: 13.95 g/cm³
**Final energy**: -10.370 eV/atom

The following is a DFT calculation (PBEsol) of an optimized crystal structure of TcSbTe2.

Lattice parameters (Å, degrees): 3.281 5.059 6.979 69.03 76.40 71.08
Element x y z (fractional)
Tc (0.722, 0.930, 0.626)
Sb (0.439, 0.497, 0.625)
Te (0.266, 0.172, 0.296)
Te (0.073, 0.901, 0.953)

**DOS(E_F)**: 2.2 states/eV per cell
**Mass density**: 7.78 g/cm³
**Final energy**: -5.652 eV/atom